## La2I2O (PBE)

Data for a relaxed La2I2O crystal.

The total magnetic moment comes out at 0.00 μB per cell. The value obtained for the total energy is -4.123 eV per atom. The density of states at the Fermi level is 0.5917 states/eV per atom. As for the crystal system: tetragonal. Its space group is No. 139. The calculation puts the calculated volume at 35.59 Å³ per atom. As for the offset from the most stable computed form: 197 meV/atom. The calculation puts the energy relative to the elements, uncorrected at -540 meV/atom.

Cell: 5.956 5.956 10.031 Å, 90.00 90.00 90.00°
Sites, in units of the cell vectors:
La 0.000 0.500 0.250
La 0.000 0.500 0.750
La 0.500 0.000 0.250
La 0.500 0.000 0.750
I 0.000 0.000 0.169
I 0.000 0.000 0.831
I 0.500 0.500 0.331
I 0.500 0.500 0.669
O 0.000 0.000 0.500
O 0.500 0.500 0.000

---

## LaIO (PBE)

Data for a relaxed LaIO crystal.

The total magnetic moment comes out at 0.00 μB per cell. The value obtained for the total energy is -6.402 eV per atom. The density of states at the Fermi level is 0.0000 states/eV per atom. As for the crystal system: hexagonal. Its space group is No. 187. The calculation puts the calculated volume at 25.39 Å³ per atom. The calculation puts the energy relative to the elements, uncorrected at -2590 meV/atom.

Cell: 4.049 4.049 5.364 Å, 90.00 90.00 120.00°
Sites, in units of the cell vectors:
La 0.000 0.000 0.000
I 0.333 0.667 0.500
O 0.667 0.333 0.000

---

## La6IO12 (PBE)

Data for a relaxed La6IO12 crystal.

The total magnetic moment comes out at 0.00 μB per cell. The value obtained for the total energy is -7.633 eV per atom. The density of states at the Fermi level is 0.2296 states/eV per atom. As for the crystal system: trigonal. Its space group is No. 148. The calculation puts the calculated volume at 16.56 Å³ per atom. The calculation puts the energy relative to the elements, uncorrected at -2864 meV/atom.

Cell: 6.886 6.886 6.886 Å, 98.45 98.45 98.45°
Sites, in units of the cell vectors:
La 0.106 0.644 0.808
La 0.192 0.894 0.356
La 0.356 0.192 0.894
La 0.644 0.808 0.106
La 0.808 0.106 0.644
La 0.894 0.356 0.192
I 0.500 0.500 0.500
O 0.061 0.323 0.904
O 0.096 0.939 0.677
O 0.207 0.532 0.435
O 0.323 0.904 0.061
O 0.435 0.207 0.532
O 0.468 0.565 0.793
O 0.532 0.435 0.207
O 0.565 0.793 0.468
O 0.677 0.096 0.939
O 0.793 0.468 0.565
O 0.904 0.061 0.323
O 0.939 0.677 0.096